1.
! SrCo3Pt | Alexandria via LeMat-Bulk | PBE | optimized geometry; values from VASP
! E above lowest polymorph: 0.0000 eV per atom
! energy of formation from the pure elements: 0.60 eV per atom
! calculated total energy: -5.21 eV per atom
&SYSTEM
  ibrav = 0, nat = 5, ntyp = 3
/
ATOMIC_SPECIES
Sr 87.62 Sr.upf
Co 58.93 Co.upf
Pt 195.08 Pt.upf
ATOMIC_POSITIONS crystal
Sr 0.000 0.000 0.000
Co 0.000 0.500 0.500
Co 0.500 0.000 0.500
Co 0.500 0.500 0.000
Pt 0.500 0.500 0.500
CELL_PARAMETERS angstrom
4.735 0.000 0.000
0.000 4.735 0.000
0.000 0.000 4.735

***

2.
! PaAlFe | Alexandria via LeMat-Bulk | PBE | optimized geometry; values from VASP
! energy of formation from the pure elements: -0.13 eV per atom
! calculated total energy: -7.37 eV per atom
&SYSTEM
  ibrav = 0, nat = 3, ntyp = 3
/
ATOMIC_SPECIES
Pa 231.04 Pa.upf
Al 26.98 Al.upf
Fe 55.84 Fe.upf
ATOMIC_POSITIONS crystal
Pa 0.000 0.000 0.000
Al 0.333 0.667 0.500
Fe 0.667 0.333 0.500
CELL_PARAMETERS angstrom
4.358 0.000 0.000
-2.179 3.774 0.000
0.000 0.000 3.244

***

3.
! NbGe2Sb | Alexandria via LeMat-Bulk | PBE | optimized geometry; values from VASP
! calculated total energy: -5.31 eV per atom
&SYSTEM
  ibrav = 0, nat = 8, ntyp = 3
/
ATOMIC_SPECIES
Nb 92.91 Nb.upf
Ge 72.64 Ge.upf
Sb 121.76 Sb.upf
ATOMIC_POSITIONS crystal
Nb 0.000 0.000 0.000
Nb 0.750 0.250 0.500
Ge 0.099 0.625 0.974
Ge 0.375 0.349 0.474
Ge 0.651 0.125 0.026
Ge 0.875 0.901 0.526
Sb 0.250 0.750 0.500
Sb 0.500 0.500 0.000
CELL_PARAMETERS angstrom
-3.095 3.095 5.966
3.095 -3.095 5.966
3.095 3.095 -5.966

***

4.
! CaLuPtPb | Alexandria via LeMat-Bulk | PBE | optimized geometry; values from VASP
! energy of formation from the pure elements: -0.67 eV per atom
! calculated total energy: -4.74 eV per atom
&SYSTEM
  ibrav = 0, nat = 4, ntyp = 4
/
ATOMIC_SPECIES
Ca 40.08 Ca.upf
Lu 174.97 Lu.upf
Pt 195.08 Pt.upf
Pb 207.20 Pb.upf
ATOMIC_POSITIONS crystal
Ca 0.000 0.000 0.000
Lu 0.500 0.500 0.500
Pt 0.250 0.250 0.250
Pb 0.750 0.750 0.750
CELL_PARAMETERS angstrom
0.000 3.634 3.634
3.634 0.000 3.634
3.634 3.634 0.000

***

5.
! RbSeBr3 | Alexandria via LeMat-Bulk | PBE | optimized geometry; values from VASP
! calculated total energy: -2.60 eV per atom
&SYSTEM
  ibrav = 0, nat = 10, ntyp = 3
/
ATOMIC_SPECIES
Rb 85.47 Rb.upf
Se 78.96 Se.upf
Br 79.90 Br.upf
ATOMIC_POSITIONS crystal
Rb 0.104 0.896 0.750
Rb 0.896 0.104 0.250
Se 0.369 0.631 0.750
Se 0.631 0.369 0.250
Br 0.054 0.333 0.750
Br 0.333 0.054 0.250
Br 0.500 0.500 0.000
Br 0.500 0.500 0.500
Br 0.667 0.946 0.750
Br 0.946 0.667 0.250
CELL_PARAMETERS angstrom
4.258 -6.798 0.000
4.258 6.798 0.000
0.000 0.000 7.462

***

6.
! Pr2Y6Tm3Sc | Alexandria via LeMat-Bulk | PBE | optimized geometry; values from VASP
! energy of formation from the pure elements: 0.03 eV per atom
! calculated total energy: -5.64 eV per atom
&SYSTEM
  ibrav = 0, nat = 12, ntyp = 4
/
ATOMIC_SPECIES
Pr 140.91 Pr.upf
Y 88.91 Y.upf
Tm 168.93 Tm.upf
Sc 44.96 Sc.upf
ATOMIC_POSITIONS crystal
Pr 0.167 0.833 0.000
Pr 0.833 0.167 0.000
Y 0.086 0.416 0.748
Y 0.254 0.254 0.253
Y 0.416 0.086 0.748
Y 0.584 0.914 0.252
Y 0.746 0.746 0.747
Y 0.914 0.584 0.252
Tm 0.000 0.000 0.500
Tm 0.334 0.666 0.500
Tm 0.666 0.334 0.500
Sc 0.500 0.500 0.000
CELL_PARAMETERS angstrom
3.072 -5.319 0.000
3.072 5.319 0.000
-2.043 0.000 11.604

***

7.
! LiZr2Ta | Alexandria via LeMat-Bulk | PBE | optimized geometry; values from VASP
! E above lowest polymorph: 0.0994 eV per atom
! energy of formation from the pure elements: 0.24 eV per atom
! calculated total energy: -7.47 eV per atom
&SYSTEM
  ibrav = 0, nat = 4, ntyp = 3
/
ATOMIC_SPECIES
Li 6.94 Li.upf
Zr 91.22 Zr.upf
Ta 180.95 Ta.upf
ATOMIC_POSITIONS crystal
Li 0.000 0.000 0.000
Zr 0.000 0.000 0.476
Zr 0.500 0.500 0.739
Ta 0.500 0.500 0.241
CELL_PARAMETERS angstrom
1.532 -2.517 0.000
1.532 2.517 0.000
0.000 0.000 10.774

***

8.
! HgAsP2 | Alexandria via LeMat-Bulk | PBE | optimized geometry; values from VASP
! E above lowest polymorph: 0.1875 eV per atom
! energy of formation from the pure elements: 0.37 eV per atom
! calculated total energy: -3.58 eV per atom
&SYSTEM
  ibrav = 0, nat = 4, ntyp = 3
/
ATOMIC_SPECIES
Hg 200.59 Hg.upf
As 74.92 As.upf
P 30.97 P.upf
ATOMIC_POSITIONS crystal
Hg 0.000 0.000 0.000
As 0.500 0.500 0.000
P 0.000 0.500 0.000
P 0.500 0.000 0.000
CELL_PARAMETERS angstrom
3.755 -3.752 0.000
3.755 3.752 0.000
-0.043 0.000 2.754

***

9.
! Ho5Er | Alexandria via LeMat-Bulk | PBE | optimized geometry; values from VASP
! E above lowest polymorph: 0.0192 eV per atom
! energy of formation from the pure elements: 0.02 eV per atom
! calculated total energy: -4.55 eV per atom
&SYSTEM
  ibrav = 0, nat = 6, ntyp = 2
/
ATOMIC_SPECIES
Ho 164.93 Ho.upf
Er 167.26 Er.upf
ATOMIC_POSITIONS crystal
Ho 0.000 0.000 0.000
Ho 0.167 0.833 0.500
Ho 0.333 0.667 0.000
Ho 0.667 0.333 0.000
Ho 0.833 0.167 0.500
Er 0.500 0.500 0.500
CELL_PARAMETERS angstrom
3.043 -5.256 0.000
3.043 5.256 0.000
-2.021 0.000 5.741

***

10.
! Pm4Ir6O19 | Alexandria via LeMat-Bulk | PBE | optimized geometry; values from VASP
! calculated total energy: -7.36 eV per atom
&SYSTEM
  ibrav = 0, nat = 29, ntyp = 3
/
ATOMIC_SPECIES
Pm 145.00 Pm.upf
Ir 192.22 Ir.upf
O 16.00 O.upf
ATOMIC_POSITIONS crystal
Pm 0.000 0.000 0.684
Pm 0.000 0.684 0.000
Pm 0.316 0.316 0.316
Pm 0.684 0.000 0.000
Ir 0.163 0.663 0.500
Ir 0.337 0.500 0.837
Ir 0.500 0.163 0.663
Ir 0.500 0.837 0.337
Ir 0.663 0.500 0.163
Ir 0.837 0.337 0.500
O 0.000 0.000 0.000
O 0.000 0.343 0.343
O 0.000 0.657 0.657
O 0.033 0.352 0.753
O 0.247 0.599 0.280
O 0.280 0.247 0.599
O 0.319 0.967 0.720
O 0.343 0.000 0.343
O 0.343 0.343 0.000
O 0.352 0.753 0.033
O 0.401 0.648 0.681
O 0.599 0.280 0.247
O 0.648 0.681 0.401
O 0.657 0.000 0.657
O 0.657 0.657 0.000
O 0.681 0.401 0.648
O 0.720 0.319 0.967
O 0.753 0.033 0.352
O 0.967 0.720 0.319
CELL_PARAMETERS angstrom
-4.481 4.481 4.481
4.481 -4.481 4.481
4.481 4.481 -4.481

***

11.
! LiAcTl4 | Alexandria via LeMat-Bulk | PBE | optimized geometry; values from VASP
! E above lowest polymorph: 0.0000 eV per atom
! energy of formation from the pure elements: -0.26 eV per atom
! calculated total energy: -2.84 eV per atom
&SYSTEM
  ibrav = 0, nat = 12, ntyp = 3
/
ATOMIC_SPECIES
Li 6.94 Li.upf
Ac 227.00 Ac.upf
Tl 204.38 Tl.upf
ATOMIC_POSITIONS crystal
Li 0.227 0.773 0.750
Li 0.773 0.227 0.250
Ac 0.117 0.883 0.250
Ac 0.883 0.117 0.750
Tl 0.076 0.924 0.750
Tl 0.316 0.684 0.047
Tl 0.316 0.684 0.453
Tl 0.500 0.500 0.000
Tl 0.500 0.500 0.500
Tl 0.684 0.316 0.547
Tl 0.684 0.316 0.953
Tl 0.924 0.076 0.250
CELL_PARAMETERS angstrom
2.389 -9.205 0.000
2.389 9.205 0.000
0.000 0.000 7.611

***

12.
! TiAgHgBr6 | Alexandria via LeMat-Bulk | PBE | optimized geometry; values from VASP
! calculated total energy: -3.07 eV per atom
&SYSTEM
  ibrav = 0, nat = 9, ntyp = 4
/
ATOMIC_SPECIES
Ti 47.87 Ti.upf
Ag 107.87 Ag.upf
Hg 200.59 Hg.upf
Br 79.90 Br.upf
ATOMIC_POSITIONS crystal
Ti 0.000 0.000 0.000
Ag 0.661 0.339 0.000
Hg 0.483 0.517 0.500
Br 0.057 0.366 0.216
Br 0.220 0.214 0.794
Br 0.371 0.087 0.225
Br 0.634 0.943 0.784
Br 0.786 0.780 0.206
Br 0.913 0.629 0.775
CELL_PARAMETERS angstrom
3.566 -6.056 0.000
3.566 6.056 0.000
-2.627 0.000 6.898

***

Number 1: density of states at the Fermi level 5.77 states/eV per cell. Number 2: density of states at the Fermi level 3.80 states/eV per cell. Number 3: density of states at the Fermi level 4.22 states/eV per cell. Number 4: density of states at the Fermi level 2.62 states/eV per cell. Number 5: density of states at the Fermi level 0.00 states/eV per cell. Number 6: density of states at the Fermi level 17.69 states/eV per cell. Number 7: density of states at the Fermi level 4.97 states/eV per cell. Number 8: density of states at the Fermi level 1.44 states/eV per cell. Number 9: density of states at the Fermi level 7.99 states/eV per cell. Number 10: density of states at the Fermi level 21.43 states/eV per cell. Number 11: density of states at the Fermi level 4.81 states/eV per cell. Number 12: density of states at the Fermi level 1.21 states/eV per cell.